A plane-wave DFT calculation with PBE-GGA was carried out for crystalline BaLiU2N5 at its relaxed geometry.

Cell lengths 7.502, 7.502, 7.502 Å; angles 128.66, 128.66, 75.56 degrees
Fractional positions:
Ba: 0.250 0.250 0.000
Ba: 0.750 0.750 0.000
Li: 0.250 0.750 0.500
Li: 0.750 0.250 0.500
U: 0.174 0.674 0.848
U: 0.326 0.174 0.500
U: 0.674 0.826 0.500
U: 0.826 0.326 0.152
N: 0.000 0.000 0.000
N: 0.038 0.235 0.500
N: 0.235 0.735 0.197
N: 0.265 0.462 0.500
N: 0.462 0.962 0.197
N: 0.500 0.500 0.000
N: 0.538 0.038 0.803
N: 0.735 0.538 0.500
N: 0.765 0.265 0.803
N: 0.962 0.765 0.500

Calculated values
- space-group type = I4/mcm (140)

=====

A plane-wave DFT calculation with PBE-GGA was carried out for crystalline Ba4LiW2N7 at its relaxed geometry.

Cell lengths 10.482, 6.571, 17.539 Å; angles 90.00, 117.29, 90.00 degrees
Fractional positions:
Ba: 0.000 0.023 0.250
Ba: 0.000 0.977 0.750
Ba: 0.196 0.142 0.621
Ba: 0.196 0.858 0.121
Ba: 0.240 0.278 0.984
Ba: 0.240 0.722 0.484
Ba: 0.349 0.230 0.428
Ba: 0.349 0.770 0.928
Ba: 0.500 0.315 0.250
Ba: 0.500 0.685 0.750
Ba: 0.651 0.230 0.072
Ba: 0.651 0.770 0.572
Ba: 0.760 0.278 0.516
Ba: 0.760 0.722 0.016
Ba: 0.804 0.142 0.879
Ba: 0.804 0.858 0.379
Li: 0.133 0.457 0.761
Li: 0.133 0.543 0.261
Li: 0.867 0.457 0.739
Li: 0.867 0.543 0.239
W: 0.018 0.330 0.096
W: 0.018 0.670 0.596
W: 0.450 0.225 0.844
W: 0.450 0.775 0.344
W: 0.550 0.225 0.656
W: 0.550 0.775 0.156
W: 0.982 0.330 0.404
W: 0.982 0.670 0.904
N: 0.000 0.500 0.000
N: 0.000 0.500 0.500
N: 0.068 0.470 0.347
N: 0.068 0.530 0.847
N: 0.077 0.079 0.436
N: 0.077 0.921 0.936
N: 0.209 0.275 0.171
N: 0.209 0.725 0.671
N: 0.253 0.183 0.805
N: 0.253 0.817 0.305
N: 0.446 0.011 0.584
N: 0.446 0.989 0.084
N: 0.484 0.464 0.592
N: 0.484 0.536 0.092
N: 0.500 0.240 0.750
N: 0.500 0.760 0.250
N: 0.516 0.464 0.908
N: 0.516 0.536 0.408
N: 0.554 0.011 0.916
N: 0.554 0.989 0.416
N: 0.747 0.183 0.695
N: 0.747 0.817 0.195
N: 0.791 0.275 0.329
N: 0.791 0.725 0.829
N: 0.923 0.079 0.064
N: 0.923 0.921 0.564
N: 0.932 0.470 0.153
N: 0.932 0.530 0.653

Calculated values
- space-group type = P2/c (13)

=====

A plane-wave DFT calculation with PBE-GGA was carried out for crystalline BaLi2WN4 at its relaxed geometry.

Cell lengths 5.515, 5.515, 5.515 Å; angles 118.46, 118.46, 92.68 degrees
Fractional positions:
Ba: 0.000 0.000 0.000
Li: 0.250 0.750 0.500
Li: 0.750 0.250 0.500
W: 0.500 0.500 0.000
N: 0.163 0.539 0.000
N: 0.461 0.461 0.624
N: 0.539 0.163 0.000
N: 0.837 0.837 0.376

Calculated values
- space-group type = I-42m (121)

=====

A plane-wave DFT calculation with PBE-GGA was carried out for crystalline BaLiYN2 at its relaxed geometry.

Cell lengths 4.666, 4.666, 6.342 Å; angles 90.00, 90.00, 90.00 degrees
Fractional positions:
Ba: 0.000 0.000 0.000
Li: 0.500 0.500 0.500
Y: 0.000 0.000 0.500
N: 0.000 0.500 0.000
N: 0.500 0.000 0.000

Calculated values
- space-group type = P4/mmm (123)

=====

Number 1: raw formation energy -9.1 eV per formula unit, total DFT energy (no corrections) -154.3 eV for the cell shown. Number 2: raw formation energy -12.3 eV per formula unit, total DFT energy (no corrections) -424.4 eV for the cell shown. Number 3: raw formation energy -2.9 eV per formula unit, total DFT energy (no corrections) -54.9 eV for the cell shown. Number 4: raw formation energy 8.9 eV per formula unit, total DFT energy (no corrections) -18.0 eV for the cell shown.